Compound: RbAs2IrSe
Source: Alexandria
Functional: GGA-PBE
Structure: optimized geometry

The structure in CIF format:
```
data_RbAs2IrSe
_space_group_name_H-M_alt 'P 4/m m m'
_space_group_IT_number 123
_space_group_name_Hall '-P 4 2'
_cell_length_a 5.4469
_cell_length_b 5.4469
_cell_length_c 5.5153
_cell_angle_alpha 90.00
_cell_angle_beta 90.00
_cell_angle_gamma 90.00
loop_
_atom_site_label
_atom_site_type_symbol
_atom_site_fract_x
_atom_site_fract_y
_atom_site_fract_z
Rb1 Rb 0.0000 0.0000 0.0000
As1 As 0.0000 0.5000 0.0000
Ir1 Ir 0.5000 0.5000 0.5000
Se1 Se 0.0000 0.0000 0.5000
```

Results
E_form (uncorrected) in eV per atom: 2.451
Crystal system: tetragonal
Fermi-level density of states in states/eV/f.u.: 7.50
Calculated volume in Å³ per cell: 163.6
ρ in kg/m3: 5140
E_tot in eV/cell: -10.4
Magnetization in Bohr magnetons per cell: 1.70